[1]
The following is a PBE-GGA calculation of a relaxed CsNa2Cd crystal, from Alexandria.

Output
* uncorrected energy: -1.0333 eV/atom
* calculated volume: 412.0 Å³ per cell
* total moment: 0.0 μB per formula unit

Unit cell a=8.6818 b=8.6818 c=5.5084 alpha=90.00 beta=90.00 gamma=82.88
Sites, in units of the cell vectors:
Cs  0.1706  0.8294  0.7500
Cs  0.8294  0.1706  0.2500
Na  0.1803  0.3717  0.7500
Na  0.3717  0.1803  0.2500
Na  0.6283  0.8197  0.7500
Na  0.8197  0.6283  0.2500
Cd  0.5000  0.5000  0.0000
Cd  0.5000  0.5000  0.5000

[2]
The following is a PBE-GGA calculation of a relaxed Cs3Na8Cd crystal, from Alexandria.

Output
* uncorrected energy: -1.1215 eV/atom
* calculated volume: 590.5 Å³ per cell
* total moment: 0.0 μB per formula unit

Unit cell a=12.7694 b=12.7694 c=12.7694 alpha=34.33 beta=34.33 gamma=34.33
Sites, in units of the cell vectors:
Cs  0.0000  0.0000  0.0000
Cs  0.1296  0.1296  0.1296
Cs  0.6133  0.6133  0.6133
Na  0.0581  0.0581  0.5595
Na  0.0581  0.5595  0.0581
Na  0.0789  0.5635  0.5635
Na  0.3120  0.3120  0.3120
Na  0.5595  0.0581  0.0581
Na  0.5635  0.0789  0.5635
Na  0.5635  0.5635  0.0789
Na  0.8136  0.8136  0.8136
Cd  0.4891  0.4891  0.4891

[3]
The following is a PBE-GGA calculation of a relaxed Cs3NaCd crystal, from Alexandria.

Output
* uncorrected energy: -0.9622 eV/atom
* calculated volume: 1501.4 Å³ per cell
* offset from the most stable computed form: 1.0 kJ/mol of atoms
* total moment: 0.0 μB per formula unit

Unit cell a=16.2087 b=16.2087 c=5.7147 alpha=90.00 beta=90.00 gamma=90.00
Sites, in units of the cell vectors:
Cs  0.0673  0.3211  0.0000
Cs  0.1116  0.8884  0.5000
Cs  0.1789  0.5673  0.5000
Cs  0.3211  0.0673  0.0000
Cs  0.3884  0.3884  0.0000
Cs  0.4327  0.8211  0.5000
Cs  0.5673  0.1789  0.5000
Cs  0.6116  0.6116  0.0000
Cs  0.6789  0.9327  0.0000
Cs  0.8211  0.4327  0.5000
Cs  0.8884  0.1116  0.5000
Cs  0.9327  0.6789  0.0000
Na  0.1483  0.1483  0.5000
Na  0.3517  0.6483  0.0000
Na  0.6483  0.3517  0.0000
Na  0.8517  0.8517  0.5000
Cd  0.0677  0.0677  0.0000
Cd  0.4323  0.5677  0.5000
Cd  0.5677  0.4323  0.5000
Cd  0.9323  0.9323  0.0000

[4]
The following is a PBE-GGA calculation of a relaxed Cs2Na3Cd2 crystal, from Alexandria.

Output
* uncorrected energy: -1.0852 eV/atom
* calculated volume: 313.8 Å³ per cell
* total moment: 0.0 μB per formula unit

Unit cell a=7.4161 b=7.4161 c=8.3771 alpha=110.85 beta=110.85 gamma=47.68
Sites, in units of the cell vectors:
Cs  0.1241  0.1241  0.3693
Cs  0.8759  0.8759  0.6307
Na  0.2036  0.2036  0.9076
Na  0.5000  0.5000  0.0000
Na  0.7964  0.7964  0.0924
Cd  0.4084  0.4084  0.3125
Cd  0.5916  0.5916  0.6875

[5]
The following is a PBE-GGA calculation of a relaxed Cs4Na5Cd crystal, from Alexandria.

Output
* uncorrected energy: -1.0843 eV/atom
* calculated volume: 607.6 Å³ per cell
* total moment: 0.0 μB per formula unit

Unit cell a=9.9792 b=9.9792 c=9.9792 alpha=96.95 beta=96.95 gamma=139.30
Sites, in units of the cell vectors:
Cs  0.0000  0.2886  0.2886
Cs  0.0000  0.7114  0.7114
Cs  0.2886  0.0000  0.2886
Cs  0.7114  0.0000  0.7114
Na  0.2495  0.2495  0.0000
Na  0.3632  0.3632  0.6792
Na  0.3632  0.6840  0.0000
Na  0.6840  0.3632  0.0000
Na  0.6840  0.6840  0.3208
Cd  0.7482  0.7482  0.0000

[6]
The following is a PBE-GGA calculation of a relaxed CsNa3Cd crystal, from Alexandria.

Output
* uncorrected energy: -1.1500 eV/atom
* calculated volume: 422.4 Å³ per cell
* offset from the most stable computed form: 0.0 kJ/mol of atoms
* total moment: 0.0 μB per formula unit

Unit cell a=8.9334 b=8.9334 c=6.5713 alpha=90.00 beta=90.00 gamma=126.35
Sites, in units of the cell vectors:
Cs  0.0915  0.9085  0.7500
Cs  0.9085  0.0915  0.2500
Na  0.1375  0.4391  0.7500
Na  0.3196  0.6804  0.2500
Na  0.4391  0.1375  0.2500
Na  0.5609  0.8625  0.7500
Na  0.6804  0.3196  0.7500
Na  0.8625  0.5609  0.2500
Cd  0.5000  0.5000  0.0000
Cd  0.5000  0.5000  0.5000

[7]
The following is a PBE-GGA calculation of a relaxed Cs3Na4Cd2 crystal, from Alexandria.

Output
* uncorrected energy: -1.0741 eV/atom
* calculated volume: 460.9 Å³ per cell
* total moment: 0.0 μB per formula unit

Unit cell a=7.9076 b=7.9076 c=11.5183 alpha=111.91 beta=111.91 gamma=44.36
Sites, in units of the cell vectors:
Cs  0.0000  0.0000  0.0000
Cs  0.3908  0.3908  0.6350
Cs  0.6092  0.6092  0.3650
Na  0.1062  0.1062  0.6504
Na  0.2816  0.2816  0.9477
Na  0.7184  0.7184  0.0523
Na  0.8938  0.8938  0.3496
Cd  0.2895  0.2895  0.2393
Cd  0.7105  0.7105  0.7607

[8]
The following is a PBE-GGA calculation of a relaxed CsNaCd2Ni crystal, from Alexandria.

Output
* uncorrected energy: -1.8470 eV/atom
* calculated volume: 153.9 Å³ per cell
* total moment: 0.0 μB per formula unit

Unit cell a=5.2423 b=5.2423 c=5.6014 alpha=90.00 beta=90.00 gamma=90.00
Sites, in units of the cell vectors:
Cs  0.0000  0.0000  0.0000
Na  0.5000  0.5000  0.0000
Cd  0.0000  0.5000  0.5000
Cd  0.5000  0.0000  0.5000
Ni  0.5000  0.5000  0.5000